1.
La5Er3S8 | PBE | relaxed

Geometry as extended XYZ:
```
16
Lattice="4.029 2.326 6.677 -4.029 2.326 6.677 0.000 -4.653 6.677" Properties=species:S:1:pos:R:3 pbc="T T T"
La 0.000 0.000 0.000
La -2.015 -1.163 6.677
La -2.015 1.163 13.354
La 0.000 2.326 6.677
La 0.000 0.000 10.016
Er -4.029 0.000 10.016
Er -2.015 1.163 3.339
Er 2.015 1.163 3.339
S -2.084 -1.203 11.567
S 0.000 0.000 4.844
S 0.000 -2.407 8.464
S -2.084 1.203 8.464
S 2.084 -1.203 11.567
S 0.000 2.407 11.567
S 0.000 0.000 15.187
S 2.084 1.203 8.464
```

- D(E_F): 8.24 states/eV/f.u.
- Theoretical density: 6.425 g cm⁻³
- Raw formation energy: -33.3 eV per formula unit



2.
La2ErS4 | PBE | relaxed

Geometry as extended XYZ:
```
14
Lattice="1.940 -6.874 0.000 1.940 6.874 0.000 0.000 0.000 13.531" Properties=species:S:1:pos:R:3 pbc="T T T"
La 1.940 5.096 7.769
La 1.940 5.096 12.527
La 1.940 -5.096 1.004
La 1.940 -5.096 5.761
Er 1.940 1.766 10.148
Er 1.940 -1.766 3.383
S 1.940 6.702 10.148
S 1.940 3.874 1.723
S 1.940 3.874 5.042
S 1.940 0.000 0.000
S 1.940 0.000 6.765
S 1.940 -3.874 8.489
S 1.940 -3.874 11.807
S 1.940 -6.702 3.383
```

- D(E_F): 1.93 states/eV/f.u.
- Theoretical density: 5.276 g cm⁻³
- Raw formation energy: -14.4 eV per formula unit



3.
LaErS3 | PBE | relaxed

Geometry as extended XYZ:
```
20
Lattice="7.461 0.000 0.000 0.000 4.042 0.000 0.000 0.000 15.371" Properties=species:S:1:pos:R:3 pbc="T T T"
La 1.061 1.011 3.065
La 2.669 3.032 10.751
La 4.792 1.011 4.620
La 6.400 3.032 12.305
Er 1.699 3.032 7.015
Er 2.031 1.011 14.700
Er 5.430 3.032 0.671
Er 5.762 1.011 8.356
S 0.096 1.011 6.100
S 0.953 3.032 0.908
S 1.135 1.011 12.077
S 2.596 3.032 4.391
S 2.778 1.011 8.594
S 3.634 3.032 13.786
S 3.827 1.011 1.585
S 4.684 3.032 6.777
S 4.865 1.011 10.980
S 6.326 3.032 3.294
S 6.508 1.011 14.463
S 7.365 3.032 9.271
```

- Theoretical density: 5.765 g cm⁻³
- Energy relative to the lowest polymorph listed for this composition: 0.000 eV per formula unit
- Raw formation energy: -10.7 eV per formula unit



4.
La2ErScS6 | PBE | relaxed

Geometry as extended XYZ:
```
20
Lattice="6.688 0.000 0.000 0.000 7.305 0.000 -6.590 0.000 9.818" Properties=species:S:1:pos:R:3 pbc="T T T"
La -0.205 0.679 2.442
La -3.500 2.974 7.351
La 3.598 4.331 2.467
La 0.303 6.627 7.376
Er 3.344 0.000 0.000
Er 0.049 3.653 4.909
Sc -3.295 0.000 4.909
Sc 0.000 3.653 0.000
S -5.420 1.413 9.177
S -2.125 2.240 4.268
S -4.505 5.000 9.188
S -1.210 5.958 4.279
S -2.401 0.309 7.301
S 0.894 3.344 2.392
S -0.796 3.962 7.426
S 2.499 6.996 2.517
S 1.308 1.347 5.539
S 4.603 2.305 0.630
S 2.223 5.065 5.549
S 5.518 5.893 0.641
```

- D(E_F): 0.00 states/eV/f.u.
- Theoretical density: 4.725 g cm⁻³
- Raw formation energy: -21.1 eV per formula unit



5.
LaEr2ScS6 | PBE | relaxed

Geometry as extended XYZ:
```
10
Lattice="3.442 1.987 6.101 -3.442 1.987 6.101 0.000 -3.974 6.101" Properties=species:S:1:pos:R:3 pbc="T T T"
La 0.000 0.000 0.000
Er 0.000 0.000 5.231
Er 0.000 0.000 14.540
Sc 0.000 0.000 8.892
S -1.968 -0.177 7.146
S -1.286 -1.909 10.151
S 1.137 -1.615 7.146
S -1.010 2.068 10.151
S 0.830 1.793 7.146
S 2.296 -0.159 10.151
```

- D(E_F): 0.00 states/eV/f.u.
- Theoretical density: 4.715 g cm⁻³
- Raw formation energy: -20.2 eV per formula unit



6.
LaErSc2S4 | PBE | relaxed

Geometry as extended XYZ:
```
8
Lattice="-2.750 2.750 5.484 2.750 -2.750 5.484 2.750 2.750 -5.484" Properties=species:S:1:pos:R:3 pbc="T T T"
La 0.000 0.000 0.000
Er 0.000 0.000 5.484
Sc 2.750 0.000 2.742
Sc 0.000 2.750 2.742
S 2.750 0.000 0.000
S 0.000 0.000 2.828
S 0.000 2.750 0.000
S 0.000 0.000 8.140
```

- D(E_F): 4.51 states/eV/f.u.
- Theoretical density: 5.247 g cm⁻³
- Raw formation energy: -14.9 eV per formula unit



7.
La2ErScS4 | PBE | relaxed

Geometry as extended XYZ:
```
8
Lattice="6.782 0.000 0.000 0.000 3.897 0.000 -2.245 0.000 6.688" Properties=species:S:1:pos:R:3 pbc="T T T"
La 0.000 0.000 0.000
La 3.391 1.948 0.000
Er -1.122 1.948 3.344
Sc 2.268 0.000 3.344
S 0.051 0.000 4.826
S 1.177 1.948 1.886
S 3.360 1.948 4.802
S 4.486 0.000 1.862
```

- D(E_F): 4.44 states/eV/f.u.
- Theoretical density: 5.809 g cm⁻³
- Raw formation energy: -16.2 eV per formula unit



8.
La3Er3ScS8 | PBE | relaxed

Geometry as extended XYZ:
```
15
Lattice="3.928 2.268 6.665 -3.928 2.268 6.665 0.000 -4.536 6.665" Properties=species:S:1:pos:R:3 pbc="T T T"
La -1.964 -1.134 6.665
La -1.964 1.134 13.330
La 0.000 2.268 6.665
Er -3.928 0.000 9.998
Er -1.964 1.134 3.333
Er 1.964 1.134 3.333
Sc 0.000 0.000 9.998
S 0.000 0.000 4.842
S -1.927 -1.113 11.484
S 0.000 -2.225 8.512
S -1.927 1.113 8.512
S 1.927 -1.113 11.484
S 0.000 2.225 11.484
S 1.927 1.113 8.512
S 0.000 0.000 15.153
```

- D(E_F): 7.75 states/eV/f.u.
- Theoretical density: 5.686 g cm⁻³
- Raw formation energy: -31.1 eV per formula unit



9.
LaErSeS2 | PBE | relaxed

Geometry as extended XYZ:
```
10
Lattice="3.150 -6.904 0.000 3.150 6.904 0.000 0.000 0.000 6.292" Properties=species:S:1:pos:R:3 pbc="T T T"
La 3.150 5.189 4.719
La 3.150 -5.189 1.573
Er 3.150 1.316 4.719
Er 3.150 -1.316 1.573
Se 3.150 3.453 1.573
Se 3.150 -3.453 4.719
S 1.560 0.000 0.000
S 1.560 0.000 3.146
S 4.740 0.000 0.000
S 4.740 0.000 3.146
```

- Theoretical density: 5.452 g cm⁻³
- Raw formation energy: -8.4 eV per formula unit



10.
La2ErSe2S2 | PBE | relaxed

Geometry as extended XYZ:
```
7
Lattice="-2.531 2.531 7.595 2.531 -2.531 7.595 2.531 2.531 -7.595" Properties=species:S:1:pos:R:3 pbc="T T T"
La 0.000 0.000 1.890
La 0.000 0.000 13.299
Er 0.000 0.000 7.595
Se 0.000 0.000 4.812
Se 0.000 0.000 10.377
S 2.531 0.000 0.000
S 0.000 2.531 0.000
```

- D(E_F): 3.21 states/eV/f.u.
- Theoretical density: 5.691 g cm⁻³
- Raw formation energy: -12.8 eV per formula unit



11.
LaErSeS | PBE | relaxed

Geometry as extended XYZ:
```
4
Lattice="2.025 1.169 6.830 -2.025 1.169 6.830 0.000 -2.339 6.830" Properties=species:S:1:pos:R:3 pbc="T T T"
La 0.000 0.000 0.000
Er 0.000 0.000 10.533
Se 0.000 0.000 15.657
S 0.000 0.000 5.092
```

- D(E_F): 1.42 states/eV/f.u.
- Theoretical density: 7.138 g cm⁻³
- Raw formation energy: -7.9 eV per formula unit



12.
LaErSe2S | PBE | relaxed

Geometry as extended XYZ:
```
10
Lattice="4.228 0.000 0.000 0.000 4.228 0.000 0.000 0.000 14.746" Properties=species:S:1:pos:R:3 pbc="T T T"
La 1.057 1.057 1.858
La 3.171 3.171 12.888
Er 1.057 1.057 8.926
Er 3.171 3.171 5.821
Se 1.057 1.057 6.004
Se 1.057 1.057 11.609
Se 3.171 3.171 3.138
Se 3.171 3.171 8.743
S 1.057 3.171 0.000
S 3.171 1.057 0.000
```

- D(E_F): 1.74 states/eV/f.u.
- Theoretical density: 6.250 g cm⁻³
- Raw formation energy: -9.1 eV per formula unit



Number 1: E -0.2404 Ha/atom. Number 2: E -0.2379 Ha/atom. Number 3: E -0.2394 Ha/atom. Number 4: E -0.2449 Ha/atom. Number 5: E -0.2400 Ha/atom. Number 6: E -0.2461 Ha/atom. Number 7: E -0.2456 Ha/atom. Number 8: E -0.2425 Ha/atom. Number 9: E -0.2175 Ha/atom. Number 10: E -0.2228 Ha/atom. Number 11: E -0.2295 Ha/atom. Number 12: E -0.2179 Ha/atom.